Here is a relaxed structure of TiHRh3 from the Alexandria database. Energies are from GGA-PBE.

abc: 8.4471 8.4471 3.9642
angles: 103.55 103.55 26.16
Atoms (fractional coordinates):
1 Ti 0.0719 0.0719 0.3220
2 Ti 0.9281 0.9281 0.6780
3 H 0.3104 0.3104 0.0630
4 H 0.6896 0.6896 0.9370
5 Rh 0.1859 0.1859 0.9359
6 Rh 0.3198 0.3198 0.5707
7 Rh 0.4394 0.4394 0.1899
8 Rh 0.5606 0.5606 0.8101
9 Rh 0.6802 0.6802 0.4293
10 Rh 0.8141 0.8141 0.0641

Output
M_tot: 0.00 μB per atom
Electronic total energy: -71.04 eV per cell